[1]
Entry from Alexandria via LeMat-Bulk: an optimized crystal structure of Ac3BiP2 (PBE-GGA).

The calculation puts the density of states at the Fermi level at 0.12 states/eV/f.u. The value obtained for the energy of formation from the pure elements is -1.027 eV/atom. The calculation puts the magnetic moment at 0.0 Bohr magnetons per cell.

It has space group Cmcm (No. 63), with a = 5.028 Å, b = 15.280 Å, c = 10.912 Å, α = 90.00°, β = 90.00° and γ = 90.00°. The asymmetric unit holds Ac at (0.000, 0.092, 0.250), Ac at (0.000, 0.381, 0.058), Bi at (0.000, 0.234, 0.750), P at (0.000, 0.000, 0.000) and P at (0.000, 0.494, 0.750).

***

[2]
Entry from Alexandria via LeMat-Bulk: an optimized crystal structure of Ac4Bi3P (PBE-GGA).

The calculation puts the density of states at the Fermi level at 1.15 states/eV/f.u. The value obtained for the energy of formation from the pure elements is -1.081 eV/atom. The calculation puts the magnetic moment at 0.0 Bohr magnetons per cell.

It has space group P2/c (No. 13), with a = 8.283 Å, b = 9.567 Å, c = 8.239 Å, α = 90.00°, β = 109.54° and γ = 90.00°. The asymmetric unit holds Ac at (0.231, 0.115, 0.003), Ac at (0.243, 0.364, 0.488), Bi at (0.000, 0.374, 0.750), Bi at (0.500, 0.124, 0.750), Bi at (0.500, 0.375, 0.250) and P at (0.000, 0.121, 0.250).

***

[3]
Entry from Alexandria via LeMat-Bulk: an optimized crystal structure of AcBiP4 (PBE-GGA).

The calculation puts the density of states at the Fermi level at 4.30 states/eV/f.u. The value obtained for the energy of formation from the pure elements is -0.093 eV/atom. The calculation puts the magnetic moment at 0.0 Bohr magnetons per cell.

It has space group F-43m (No. 216), with a = 8.180 Å, b = 8.180 Å, c = 8.180 Å, α = 90.00°, β = 90.00° and γ = 90.00°. The asymmetric unit holds Ac at (0.000, 0.000, 0.000), Bi at (0.250, 0.250, 0.750) and P at (0.101, 0.101, 0.399).

***

[4]
Entry from Alexandria via LeMat-Bulk: an optimized crystal structure of Ac2BiP (PBE-GGA).

The calculation puts the density of states at the Fermi level at 0.74 states/eV/f.u. The value obtained for the energy above the most stable polymorph in this dataset is 0.0 meV per atom. The value obtained for the energy of formation from the pure elements is -1.201 eV/atom. The calculation puts the magnetic moment at 0.0 Bohr magnetons per cell.

It has space group P-3m1 (No. 164), with a = 4.6224 Å, b = 4.6224 Å, c = 23.1500 Å, α = 90.00°, β = 90.00° and γ = 120.00°. The asymmetric unit holds Ac at (0.0000, 0.0000, 0.2251), Ac at (0.3333, 0.6667, 0.4082), Ac at (0.3333, 0.6667, 0.9249), Bi at (0.0000, 0.0000, 0.5000), Bi at (0.3333, 0.6667, 0.6816), P at (0.0000, 0.0000, 0.0000) and P at (0.3333, 0.6667, 0.1524).

***

[5]
Entry from Alexandria via LeMat-Bulk: an optimized crystal structure of Ac2BiP (PBE-GGA).

The calculation puts the density of states at the Fermi level at 0.76 states/eV/f.u. The value obtained for the energy above the most stable polymorph in this dataset is 3.0 meV per atom. The value obtained for the energy of formation from the pure elements is -1.198 eV/atom. The calculation puts the magnetic moment at 0.0 Bohr magnetons per cell.

It has space group R-3m (No. 166, hexagonal axes), with a = 4.6299 Å, b = 4.6299 Å, c = 23.0807 Å, α = 90.00°, β = 90.00° and γ = 120.00°. The asymmetric unit holds Ac at (0.0000, 0.0000, 0.2417), Bi at (0.0000, 0.0000, 0.0000) and P at (0.0000, 0.0000, 0.5000).

***

[6]
Entry from Alexandria via LeMat-Bulk: an optimized crystal structure of Ac2BiP (PBE-GGA).

The calculation puts the density of states at the Fermi level at 1.53 states/eV/f.u. The value obtained for the energy above the most stable polymorph in this dataset is 90.3 meV per atom. The value obtained for the energy of formation from the pure elements is -1.111 eV/atom. The calculation puts the magnetic moment at 0.0 Bohr magnetons per cell.

It has space group R3m (No. 160, hexagonal axes), with a = 4.5736 Å, b = 4.5736 Å, c = 23.8485 Å, α = 90.00°, β = 90.00° and γ = 120.00°. The asymmetric unit holds Ac at (0.0000, 0.0000, 0.0000), Ac at (0.0000, 0.0000, 0.1856), Bi at (0.0000, 0.0000, 0.4259) and P at (0.0000, 0.0000, 0.5945).

***

E readings, ordered: -132.74, -84.27, -120.74, -66.93, -66.90, -65.85 eV per cell